{
  "formula": "CsAgBr3",
  "functional": "PBE-GGA",
  "state": "relaxed",
  "total_energy_ev_per_atom": -2.56,
  "sg": "C2/c, No. 15",
  "n_ef_per_ev_atom": 0.00,
  "crystal_system": "monoclinic",
  "lattice_angstrom": [[7.954, -5.866, 0.000], [7.954, 5.866, 0.000], [-3.324, 0.000, 7.928]],
  "species": ["Cs", "Cs", "Cs", "Cs", "Ag", "Ag", "Ag", "Ag", "Br", "Br", "Br", "Br", "Br", "Br", "Br", "Br", "Br", "Br", "Br", "Br"],
  "frac_coords": [[0.096, 0.249, 0.313], [0.249, 0.096, 0.813], [0.751, 0.904, 0.187], [0.904, 0.751, 0.687], [0.313, 0.687, 0.750], [0.354, 0.646, 0.250], [0.646, 0.354, 0.750], [0.687, 0.313, 0.250], [0.102, 0.480, 0.932], [0.154, 0.767, 0.460], [0.233, 0.846, 0.040], [0.343, 0.407, 0.761], [0.407, 0.343, 0.261], [0.480, 0.102, 0.432], [0.520, 0.898, 0.568], [0.593, 0.657, 0.739], [0.657, 0.593, 0.239], [0.767, 0.154, 0.960], [0.846, 0.233, 0.540], [0.898, 0.520, 0.068]]
}